# 1
VASP calculation (PBE-GGA) on an optimized crystal structure of TiNbSb.

a = 3.1006 Å, b = 3.0998 Å, c = 6.8228 Å
α = 98.36°, β = 82.10°, γ = 67.77°
Element x y z (fractional)
1 Ti 0.0397 0.2980 0.8086
2 Nb 0.7046 0.6434 0.4874
3 Sb 0.2524 0.8478 0.1449

# 2
VASP calculation (PBE-GGA) on an optimized crystal structure of TiNbVSb.

a = 4.5746 Å, b = 4.5746 Å, c = 4.5746 Å
α = 60.00°, β = 60.00°, γ = 60.00°
Element x y z (fractional)
1 Sb 0.0000 0.0000 0.0000
2 Nb 0.5000 0.5000 0.5000
3 Ti 0.2500 0.2500 0.2500
4 V 0.7500 0.7500 0.7500

# 3
VASP calculation (PBE-GGA) on an optimized crystal structure of YTiNbSb2.

a = 5.4232 Å, b = 4.6258 Å, c = 5.4232 Å
α = 90.00°, β = 90.00°, γ = 90.00°
Element x y z (fractional)
1 Y 0.5000 0.5000 0.5000
2 Sb 0.0000 0.0000 0.5000
3 Sb 0.5000 0.0000 0.0000
4 Nb 0.0000 0.0000 0.0000
5 Ti 0.0000 0.5000 0.0000

# 4
VASP calculation (PBE-GGA) on an optimized crystal structure of NbTlSb3.

Summary:
- distance to the lowest polymorph of the same formula (meV/atom) = 0

a = 5.4249 Å, b = 5.4249 Å, c = 5.4249 Å
α = 90.00°, β = 90.00°, γ = 90.00°
Element x y z (fractional)
1 Sb 0.0000 0.5000 0.0000
2 Sb 0.0000 0.0000 0.5000
3 Sb 0.5000 0.0000 0.0000
4 Tl 0.5000 0.5000 0.5000
5 Nb 0.0000 0.0000 0.0000

Number 1: calculated volume 58.7 Å³/cell, formation energy from raw total energies -0.096 eV per atom. Number 2: calculated volume 67.7 Å³/cell, formation energy from raw total energies -0.138 eV per atom. Number 3: calculated volume 136.0 Å³/cell, formation energy from raw total energies 0.230 eV per atom. Number 4: calculated volume 159.6 Å³/cell, formation energy from raw total energies 0.206 eV per atom.